[1]
Material: Mg2TcBr
Method: DFT, GGA-PBE
State: optimized geometry

The magnetization comes out at 1.6 μB per formula unit. The calculation puts the uncorrected formation energy at 0.436 eV per atom. The final energy comes out at -3.371 eV per atom. As for the density of states at the Fermi level: 0.7652 states/eV per atom. Its energy above the most stable polymorph in this dataset is 1.861 eV/f.u.

It has space group I-4m2 (No. 119), with a = 4.018 Å, b = 4.018 Å, c = 9.707 Å, α = 90.00°, β = 90.00° and γ = 90.00°. The distinct sites, in fractional coordinates, are Mg at (0.000, 0.000, 0.000), Mg at (0.000, 0.500, 0.250), Tc at (0.000, 0.500, 0.750) and Br at (0.000, 0.000, 0.500).



[2]
Material: Ce2DyZn6
Method: DFT, GGA-PBE
State: optimized geometry

The magnetization comes out at 2.1 μB per formula unit. The value obtained for the formation energy from the elements is -308 meV per atom. The final energy comes out at -2.988 eV per atom. As for the density of states at the Fermi level: 1.5239 states/eV per atom.

It has space group P6/mmm (No. 191), with a = 7.9315 Å, b = 7.9315 Å, c = 3.3873 Å, α = 90.00°, β = 90.00° and γ = 120.00°. The distinct sites, in fractional coordinates, are Ce at (0.3333, 0.6667, 0.0000), Dy at (0.0000, 0.0000, 0.0000) and Zn at (0.0000, 0.3297, 0.5000).



[3]
Material: KDyNiCl6
Method: DFT, GGA-PBE
State: optimized geometry

The magnetization comes out at 2.1 μB per formula unit. The calculation puts the uncorrected formation energy at -1.647 eV per atom. The final energy comes out at -4.153 eV per atom.

It has space group P312 (No. 149), with a = 6.6025 Å, b = 6.6025 Å, c = 7.0187 Å, α = 90.00°, β = 90.00° and γ = 120.00°. The distinct sites, in fractional coordinates, are K at (0.0000, 0.0000, 0.0000), Dy at (0.6667, 0.3333, 0.5000), Ni at (0.3333, 0.6667, 0.5000) and Cl at (0.0248, 0.3810, 0.7052).



[4]
Material: TcHgB2
Method: DFT, GGA-PBE
State: optimized geometry

The magnetization comes out at 0.0 μB per formula unit. The value obtained for the formation energy from the elements is 897 meV per atom. The final energy comes out at -5.109 eV per atom. As for the density of states at the Fermi level: 0.6194 states/eV per atom.

It has space group I-42d (No. 122), with a = 5.182 Å, b = 5.182 Å, c = 9.540 Å, α = 90.00°, β = 90.00° and γ = 90.00°. The distinct sites, in fractional coordinates, are Tc at (0.000, 0.000, 0.000), Hg at (0.000, 0.000, 0.500) and B at (0.191, 0.250, 0.125).



[5]
Material: K5Tl4In
Method: DFT, GGA-PBE
State: optimized geometry

The magnetization comes out at 0.0 μB per formula unit. The value obtained for the formation energy from the elements is -70 meV per atom. The final energy comes out at -1.839 eV per atom. As for the density of states at the Fermi level: 0.8157 states/eV per atom.

It has space group C2/m (No. 12), with a = 20.491 Å, b = 5.072 Å, c = 9.127 Å, α = 90.00°, β = 108.14° and γ = 90.00°. The distinct sites, in fractional coordinates, are K at (0.000, 0.000, 0.000), K at (0.157, 0.500, 0.522), K at (0.182, 0.500, 0.081), Tl at (0.018, 0.500, 0.722), Tl at (0.130, 0.000, 0.782) and In at (0.000, 0.000, 0.500).



[6]
Material: Ho5MgN6
Method: DFT, GGA-PBE
State: optimized geometry

The magnetization comes out at 0.0 μB per formula unit. The calculation puts the uncorrected formation energy at -1.459 eV per atom. The final energy comes out at -7.662 eV per atom. As for the density of states at the Fermi level: 0.6147 states/eV per atom.

It has space group C2/m (No. 12), with a = 5.924 Å, b = 10.257 Å, c = 5.917 Å, α = 90.00°, β = 109.50° and γ = 90.00°. The distinct sites, in fractional coordinates, are Ho at (0.000, 0.000, 0.000), Ho at (0.000, 0.167, 0.500), Ho at (0.000, 0.335, 0.000), Mg at (0.000, 0.500, 0.500), N at (0.246, 0.000, 0.754) and N at (0.247, 0.169, 0.249).



> Which of these has the highest final energy?

K5Tl4In



> Which value of magnetization does entry 5 give?

0.0 μB per formula unit